No. 1
NdZn9Ru2 | PBE-GGA | optimized geometry

Lattice parameters (Å, degrees): 5.106 5.106 8.706 72.95 72.95 60.00
Element x y z (fractional)
Nd: 0.000 0.000 0.000
Zn: 0.666 0.666 0.001
Zn: 0.334 0.334 0.999
Zn: 0.500 0.500 0.500
Zn: 0.405 0.405 0.271
Zn: 0.919 0.405 0.271
Zn: 0.405 0.919 0.271
Zn: 0.595 0.595 0.729
Zn: 0.595 0.081 0.729
Zn: 0.081 0.595 0.729
Ru: 0.857 0.857 0.429
Ru: 0.143 0.143 0.571

Summary:
* space group: No. 166
* formation enthalpy at 0 K: -9 kJ per mole of atoms



No. 2
Tb5Sc2Ru5 | PBE-GGA | optimized geometry

Lattice parameters (Å, degrees): 4.790 4.790 13.076 79.43 79.43 60.01
Element x y z (fractional)
Tb: 0.500 0.500 0.500
Tb: 0.309 0.309 0.074
Tb: 0.218 0.218 0.346
Tb: 0.782 0.782 0.654
Tb: 0.691 0.691 0.926
Sc: 0.072 0.072 0.785
Sc: 0.928 0.928 0.215
Ru: 0.857 0.857 0.429
Ru: 0.388 0.388 0.836
Ru: 0.612 0.612 0.164
Ru: 0.143 0.143 0.571
Ru: 0.000 0.000 0.000

Summary:
* space group: No. 166
* formation enthalpy at 0 K: -24 kJ per mole of atoms



No. 3
HfAlNi2Ru | PBE-GGA | optimized geometry

Lattice parameters (Å, degrees): 4.532 4.717 4.532 90.00 90.00 90.00
Element x y z (fractional)
Ru: 0.000 0.500 0.000
Hf: 0.000 0.000 0.000
Al: 0.500 0.500 0.500
Ni: 0.000 0.000 0.500
Ni: 0.500 0.000 0.000

Summary:
* space group: No. 123
* formation enthalpy at 0 K: 105 kJ per mole of atoms



No. 4
CsKSc2Ga | PBE-GGA | optimized geometry

Lattice parameters (Å, degrees): 5.508 6.030 5.508 90.00 90.00 90.00
Element x y z (fractional)
Cs: 0.000 0.000 0.000
Sc: 0.000 0.000 0.500
Sc: 0.500 0.000 0.000
K: 0.000 0.500 0.000
Ga: 0.500 0.500 0.500

Summary:
* space group: No. 123
* formation enthalpy at 0 K: 138 kJ per mole of atoms



No. 5
LaErMgZn | PBE-GGA | optimized geometry

Lattice parameters (Å, degrees): 3.652 3.652 7.958 90.00 90.00 90.00
Element x y z (fractional)
La: 0.000 0.000 0.879
Er: 0.000 0.000 0.328
Mg: 0.500 0.500 0.586
Zn: 0.500 0.500 0.134

Summary:
* distance to the lowest polymorph of the same formula: 0.00 eV/f.u.
* space group: No. 99
* formation enthalpy at 0 K: -20 kJ per mole of atoms



No. 6
SiPbAu3 | PBE-GGA | optimized geometry

Lattice parameters (Å, degrees): 4.617 7.254 6.766 107.65 90.00 108.56
Element x y z (fractional)
Si: 0.526 0.052 0.192
Si: 0.474 0.948 0.808
Pb: 0.850 0.700 0.034
Pb: 0.150 0.300 0.966
Au: 0.072 0.145 0.352
Au: 0.928 0.855 0.648
Au: 0.380 0.760 0.345
Au: 0.620 0.240 0.655
Au: 0.277 0.554 0.661
Au: 0.723 0.446 0.339

Summary:
* distance to the lowest polymorph of the same formula: 0.23 eV/f.u.
* space group: No. 12
* E_form (uncorrected): -5 meV per atom



No. 7
Ac12Si6Bi | PBE-GGA | optimized geometry

Lattice parameters (Å, degrees): 9.490 9.490 9.490 109.47 109.47 109.47
Element x y z (fractional)
Ac: 0.300 0.109 0.809
Ac: 0.300 0.491 0.191
Ac: 0.700 0.509 0.809
Ac: 0.700 0.891 0.191
Ac: 0.109 0.809 0.300
Ac: 0.491 0.191 0.300
Ac: 0.509 0.809 0.700
Ac: 0.891 0.191 0.700
Ac: 0.809 0.300 0.109
Ac: 0.191 0.300 0.491
Ac: 0.809 0.700 0.509
Ac: 0.191 0.700 0.891
Si: 0.391 0.500 0.891
Si: 0.609 0.500 0.109
Si: 0.500 0.891 0.391
Si: 0.500 0.109 0.609
Si: 0.891 0.391 0.500
Si: 0.109 0.609 0.500
Bi: 0.000 0.000 0.000

Summary:
* space group: No. 204
* E_form (uncorrected): -471 meV per atom



No. 8
Np3AsSe2 | PBE-GGA | optimized geometry

Lattice parameters (Å, degrees): 7.124 7.121 7.121 119.98 99.60 99.60
Element x y z (fractional)
Np: 0.000 0.171 0.335
Np: 0.500 0.335 0.171
Np: 0.000 0.500 0.000
Np: 0.000 0.829 0.665
Np: 0.500 0.000 0.500
Np: 0.500 0.665 0.829
As: 0.250 0.584 0.416
As: 0.750 0.416 0.584
Se: 0.250 0.917 0.083
Se: 0.250 0.249 0.751
Se: 0.750 0.083 0.917
Se: 0.750 0.751 0.249

Summary:
* space group: No. 15
* E_form (uncorrected): -955 meV per atom



No. 9
Mn3SnCl | PBE-GGA | optimized geometry

Lattice parameters (Å, degrees): 5.468 5.468 5.468 90.00 90.00 90.00
Element x y z (fractional)
Mn: 0.000 0.500 0.000
Mn: 0.000 0.000 0.500
Mn: 0.500 0.000 0.000
Sn: 0.000 0.000 0.000
Cl: 0.500 0.500 0.500

Summary:
* space group: No. 221
* E_form (uncorrected): 851 meV per atom



No. 10
Tb7DyTh2 | PBE-GGA | optimized geometry

Lattice parameters (Å, degrees): 5.516 9.392 9.392 124.70 90.00 90.00
Element x y z (fractional)
Tb: 0.000 0.790 0.210
Tb: 0.000 0.210 0.790
Tb: 0.500 0.066 0.287
Tb: 0.500 0.934 0.713
Tb: 0.500 0.287 0.066
Tb: 0.500 0.713 0.934
Tb: 0.500 0.500 0.500
Dy: 0.000 0.000 0.000
Th: 0.500 0.705 0.295
Th: 0.500 0.295 0.705

Summary:
* distance to the lowest polymorph of the same formula: 3.06 eV/f.u.
* space group: No. 65
* formation enthalpy at 0 K: 73 kJ per mole of atoms



No. 11
VReRh2 | PBE-GGA | optimized geometry

Lattice parameters (Å, degrees): 4.324 4.324 4.324 60.00 60.00 60.00
Element x y z (fractional)
V: 0.750 0.750 0.750
Re: 0.500 0.500 0.500
Rh: 0.000 0.000 0.000
Rh: 0.250 0.250 0.250

Summary:
* distance to the lowest polymorph of the same formula: 1.10 eV/f.u.
* space group: No. 216
* formation enthalpy at 0 K: 2 kJ per mole of atoms



No. 12
Ba2NiHAu | PBE-GGA | optimized geometry

Lattice parameters (Å, degrees): 5.622 5.622 3.703 90.00 90.00 90.00
Element x y z (fractional)
Ni: 0.000 0.000 0.500
Au: 0.500 0.500 0.500
Ba: 0.000 0.500 0.000
Ba: 0.500 0.000 0.000
H: 0.000 0.000 0.000

Summary:
* space group: No. 123
* electronic total energy: -0.13071 Ha/atom